Entry 1:
A geometry-optimized Tm12Al6Tc structure, computed with PBE.

a b c (Å): 10.8186 10.8186 13.7036
angles (deg): 90.00 90.00 120.00
Closest atoms and distances in Å follow each position.
Space group R-3 (No. 148, hexagonal axes)
One atom of each set of equivalent atoms:
Tm: 0.0323 0.1850 0.3278 [18 per cell]  1 Tc 3.00, 4 Al 3.01-3.19, 4 Tm 3.07-3.35
Tm: 0.0630 0.8493 0.9079 [18 per cell]  4 Al 3.18-3.39, 5 Tm 3.18-3.47
Al: 0.0438 0.4424 0.2064 [18 per cell]  1 Tc 2.90, 7 Tm 3.01-3.21, 2 Al 3.05
Tc: 0.0000 0.0000 0.5000 [3 per cell]  6 Al 2.90, 6 Tm 3.00

Results
Raw total energy ... -4.72 eV per atom
Formation enthalpy at 0 K ... -0.166 eV/atom

Entry 2:
A geometry-optimized Nd8TcNi2 structure, computed with PBE.

a b c (Å): 8.2620 13.2534 6.0495
angles (deg): 90.00 110.08 90.00
Closest atoms and distances in Å follow each position.
Space group Cm (No. 8)
One atom of each set of equivalent atoms:
Nd: 0.0000 0.0000 0.0000 [2 per cell]  1 Tc 2.88
Nd: 0.0724 0.3754 0.7585 [4 per cell]  2 Ni 2.81
Nd: 0.1427 0.1262 0.5720 [4 per cell]  2 Ni 2.80-2.82
Nd: 0.2235 0.5000 0.3454 [2 per cell]  1 Tc 2.76
Nd: 0.3544 0.2097 0.1682 [4 per cell]  1 Tc 2.80
Tc: 0.3691 0.0000 0.2226 [2 per cell]  4 Nd 2.76-2.88
Ni: 0.3597 0.2964 0.6707 [4 per cell]  4 Nd 2.80-2.82

Results
Raw total energy ... -5.46 eV per atom
Formation enthalpy at 0 K ... 0.001 eV/atom

- Which value of formation enthalpy at 0 K does entry 1 give?
  -0.166 eV/atom

Copy entry 2 word for word.
A geometry-optimized Nd8TcNi2 structure, computed with PBE.

a b c (Å): 8.2620 13.2534 6.0495
angles (deg): 90.00 110.08 90.00
Closest atoms and distances in Å follow each position.
Space group Cm (No. 8)
One atom of each set of equivalent atoms:
Nd: 0.0000 0.0000 0.0000 [2 per cell]  1 Tc 2.88
Nd: 0.0724 0.3754 0.7585 [4 per cell]  2 Ni 2.81
Nd: 0.1427 0.1262 0.5720 [4 per cell]  2 Ni 2.80-2.82
Nd: 0.2235 0.5000 0.3454 [2 per cell]  1 Tc 2.76
Nd: 0.3544 0.2097 0.1682 [4 per cell]  1 Tc 2.80
Tc: 0.3691 0.0000 0.2226 [2 per cell]  4 Nd 2.76-2.88
Ni: 0.3597 0.2964 0.6707 [4 per cell]  4 Nd 2.80-2.82

Results
Raw total energy ... -5.46 eV per atom
Formation enthalpy at 0 K ... 0.001 eV/atom

- The lowest formation enthalpy at 0 K belongs to which entry?
  Tm12Al6Tc

- Which value of formation enthalpy at 0 K does entry 1 give?
  -0.166 eV/atom